Entry 1:
Sm6GeTe5 | GGA-PBE | relaxed

Properties
* E_form (uncorrected): -16.5 eV/f.u.
* N(E_F): 0.511 states/eV per atom

a b c (Å): 7.6629 13.2428 7.6751
angles (deg): 90.00 109.34 90.00
Space group C2/m (No. 12)
One atom of each set of equivalent atoms:
Sm 0.2289 0.0000 0.2623 (multiplicity 4)
Sm 0.2319 0.1552 0.7329 (multiplicity 8)
Ge 0.0000 0.0000 0.5000 (multiplicity 2)
Te 0.0000 0.1738 0.0000 (multiplicity 4)
Te 0.0000 0.3349 0.5000 (multiplicity 4)
Te 0.0000 0.5000 0.0000 (multiplicity 2)

***

Entry 2:
Sm5GeTe5 | GGA-PBE | relaxed

Properties
* E_form (uncorrected): -15.1 eV/f.u.
* N(E_F): 0.235 states/eV per atom

a b c (Å): 13.9765 6.2352 8.7818
angles (deg): 90.00 108.60 90.00
Space group C2/m (No. 12)
One atom of each set of equivalent atoms:
Sm 0.0000 0.0000 0.0000 (multiplicity 2)
Sm 0.1573 0.5000 0.3198 (multiplicity 4)
Sm 0.1573 0.5000 0.8386 (multiplicity 4)
Ge 0.0000 0.5000 0.0000 (multiplicity 2)
Te 0.0000 0.5000 0.5000 (multiplicity 2)
Te 0.1644 0.0000 0.8264 (multiplicity 4)
Te 0.1704 0.0000 0.3360 (multiplicity 4)

***

Entry 3:
SmGe3Te6 | GGA-PBE | relaxed

Properties
* E_form (uncorrected): -3.6 eV/f.u.
* N(E_F): 0.226 states/eV per atom

a b c (Å): 12.4823 4.1519 13.5115
angles (deg): 90.00 113.10 90.00
Space group P2_1/m (No. 11)
One atom of each set of equivalent atoms:
Sm 0.0530 0.2500 0.2137 (multiplicity 2)
Ge 0.1971 0.2500 0.7047 (multiplicity 2)
Ge 0.2994 0.7500 0.0986 (multiplicity 2)
Ge 0.4946 0.7500 0.6475 (multiplicity 2)
Te 0.0318 0.7500 0.3839 (multiplicity 2)
Te 0.0965 0.2500 0.9808 (multiplicity 2)
Te 0.2306 0.7500 0.8432 (multiplicity 2)
Te 0.2624 0.7500 0.2836 (multiplicity 2)
Te 0.3257 0.2500 0.5822 (multiplicity 2)
Te 0.4645 0.2500 0.1395 (multiplicity 2)

***

Entry 4:
Sm3GeTe2 | GGA-PBE | relaxed

Properties
* E_form (uncorrected): -7.9 eV/f.u.
* N(E_F): 0.261 states/eV per atom

a b c (Å): 7.6837 13.1408 7.5558
angles (deg): 90.00 109.62 90.00
Space group C2/c (No. 15)
One atom of each set of equivalent atoms:
Sm 0.2205 0.0745 0.4960 (multiplicity 8)
Sm 0.2500 0.2500 0.0000 (multiplicity 4)
Ge 0.0000 0.0886 0.7500 (multiplicity 4)
Te 0.0000 0.2578 0.2500 (multiplicity 4)
Te 0.0000 0.4185 0.7500 (multiplicity 4)

***

Entry 5:
SmGeTe3 | GGA-PBE | relaxed

Properties
* E_form (uncorrected): -3.0 eV/f.u.
* N(E_F): 0.395 states/eV per atom

a b c (Å): 9.8113 11.5084 6.6034
angles (deg): 90.00 90.00 90.00
Space group Pnma (No. 62)
One atom of each set of equivalent atoms:
Sm 0.0000 0.0000 0.0000 (multiplicity 4)
Ge 0.2309 0.2500 0.4642 (multiplicity 4)
Te 0.0114 0.7500 0.7754 (multiplicity 4)
Te 0.2493 0.5799 0.2447 (multiplicity 8)

***

Entry 6:
SmThGeTe | GGA-PBE | relaxed

Properties
* E_form (uncorrected): -4.5 eV/f.u.
* N(E_F): 0.482 states/eV per atom

a b c (Å): 4.3476 4.3476 21.8165
angles (deg): 90.00 90.00 120.00
Space group R3m (No. 160, hexagonal axes)
One atom of each set of equivalent atoms:
Sm 0.0000 0.0000 0.0000 (multiplicity 3)
Th 0.0000 0.0000 0.5202 (multiplicity 3)
Ge 0.0000 0.0000 0.2602 (multiplicity 3)
Te 0.0000 0.0000 0.7592 (multiplicity 3)

***

Entry 7:
Sm6TlGe2Te3 | GGA-PBE | relaxed

Properties
* E_form (uncorrected): -13.0 eV/f.u.
* N(E_F): 0.511 states/eV per atom

a b c (Å): 19.2590 4.3403 8.9197
angles (deg): 90.00 104.56 90.00
Space group C2/m (No. 12)
One atom of each set of equivalent atoms:
Sm 0.0079 0.0000 0.2570 (multiplicity 4)
Sm 0.1688 0.5000 0.1039 (multiplicity 4)
Sm 0.1732 0.5000 0.5671 (multiplicity 4)
Tl 0.0000 0.5000 0.0000 (multiplicity 2)
Ge 0.1672 0.0000 0.3334 (multiplicity 4)
Te 0.0000 0.5000 0.5000 (multiplicity 2)
Te 0.1645 0.0000 0.8313 (multiplicity 4)

***

Entry 8:
SmTlGeTe3 | GGA-PBE | relaxed

Properties
* E_form (uncorrected): -4.3 eV/f.u.

a b c (Å): 8.9608 4.3185 11.6775
angles (deg): 90.00 106.73 90.00
Space group P2_1/m (No. 11)
One atom of each set of equivalent atoms:
Sm 0.1434 0.2500 0.1605 (multiplicity 2)
Tl 0.2535 0.7500 0.7120 (multiplicity 2)
Ge 0.3778 0.7500 0.4455 (multiplicity 2)
Te 0.1216 0.2500 0.8883 (multiplicity 2)
Te 0.1645 0.2500 0.4352 (multiplicity 2)
Te 0.4101 0.7500 0.2209 (multiplicity 2)

***

Entry 9:
Sm8TlGe3Te4 | GGA-PBE | relaxed

Properties
* E_form (uncorrected): -17.7 eV/f.u.
* N(E_F): 0.448 states/eV per atom

a b c (Å): 8.6995 8.6995 21.8954
angles (deg): 90.00 90.00 120.00
Space group R-3m (No. 166, hexagonal axes)
One atom of each set of equivalent atoms:
Sm 0.0000 0.0000 0.2401 (multiplicity 6)
Sm 0.0107 0.5054 0.7557 (multiplicity 18)
Tl 0.0000 0.0000 0.5000 (multiplicity 3)
Ge 0.0000 0.5000 0.5000 (multiplicity 9)
Te 0.0000 0.0000 0.0000 (multiplicity 3)
Te 0.0000 0.5000 0.0000 (multiplicity 9)

***

Entry 10:
Sm2Tl3GeTe6 | GGA-PBE | relaxed

Properties
* E_form (uncorrected): -8.8 eV/f.u.
* N(E_F): 0.600 states/eV per atom

a b c (Å): 20.5509 4.4571 9.4637
angles (deg): 90.00 107.13 90.00
Space group C2/m (No. 12)
One atom of each set of equivalent atoms:
Sm 0.1651 0.0000 0.3343 (multiplicity 4)
Tl 0.0000 0.5000 0.5000 (multiplicity 2)
Tl 0.1684 0.0000 0.8418 (multiplicity 4)
Ge 0.0000 0.5000 0.0000 (multiplicity 2)
Te 0.0054 0.0000 0.2243 (multiplicity 4)
Te 0.1547 0.5000 0.0983 (multiplicity 4)
Te 0.1737 0.5000 0.5727 (multiplicity 4)

***

Entry 11:
SmYGeTe | GGA-PBE | relaxed

Properties
* E_form (uncorrected): -4.6 eV/f.u.
* N(E_F): 0.161 states/eV per atom

a b c (Å): 4.2731 4.2731 22.0215
angles (deg): 90.00 90.00 120.00
Space group R3m (No. 160, hexagonal axes)
One atom of each set of equivalent atoms:
Sm 0.0000 0.0000 0.0000 (multiplicity 3)
Y 0.0000 0.0000 0.1893 (multiplicity 3)
Ge 0.0000 0.0000 0.5951 (multiplicity 3)
Te 0.0000 0.0000 0.4290 (multiplicity 3)

***

Entry 12:
SmTh2Ge3 | GGA-PBE | relaxed

Properties
* N(E_F): 0.583 states/eV per atom
* DFT formation energy: -747 meV per atom

a b c (Å): 8.6062 6.0664 12.7565
angles (deg): 90.00 90.00 90.00
Space group Pnma (No. 62)
One atom of each set of equivalent atoms:
Sm 0.1250 0.2500 0.0835 (multiplicity 4)
Th 0.1253 0.2500 0.7497 (multiplicity 4)
Th 0.1264 0.2500 0.4167 (multiplicity 4)
Ge 0.1242 0.7500 0.0833 (multiplicity 4)
Ge 0.1241 0.7500 0.7498 (multiplicity 4)
Ge 0.1251 0.7500 0.4171 (multiplicity 4)

***

Entry 13:
SmThGe2 | GGA-PBE | relaxed

Properties
* N(E_F): 1.272 states/eV per atom
* DFT formation energy: -574 meV per atom

a b c (Å): 4.3277 4.3277 20.9111
angles (deg): 90.00 90.00 120.00
Space group R3m (No. 160, hexagonal axes)
One atom of each set of equivalent atoms:
Sm 0.0000 0.0000 0.0000 (multiplicity 3)
Th 0.0000 0.0000 0.8265 (multiplicity 3)
Ge 0.0000 0.0000 0.2465 (multiplicity 3)
Ge 0.0000 0.0000 0.4118 (multiplicity 3)

***

Entry 14:
SmTh3Ge4 | GGA-PBE | relaxed

Properties
* N(E_F): 0.606 states/eV per atom
* DFT formation energy: -754 meV per atom

a b c (Å): 7.4320 8.5412 7.4398
angles (deg): 90.00 109.33 90.00
Space group P2/c (No. 13)
One atom of each set of equivalent atoms:
Sm 0.0000 0.1250 0.2500 (multiplicity 2)
Th 0.0000 0.3738 0.7500 (multiplicity 2)
Th 0.5000 0.1246 0.7500 (multiplicity 2)
Th 0.5000 0.3740 0.2500 (multiplicity 2)
Ge 0.2494 0.1242 0.9997 (multiplicity 4)
Ge 0.2492 0.3753 0.4996 (multiplicity 4)

***

Entry 15:
Sm3ThGe2 | GGA-PBE | relaxed

Properties
* N(E_F): 1.035 states/eV per atom
* DFT formation energy: -533 meV per atom

a b c (Å): 4.4665 4.4665 8.3495
angles (deg): 90.00 90.00 90.00
Space group P-4m2 (No. 115)
One atom of each set of equivalent atoms:
Sm 0.0000 0.0000 0.0000 (multiplicity 1)
Sm 0.0000 0.5000 0.6419 (multiplicity 2)
Th 0.5000 0.5000 0.0000 (multiplicity 1)
Ge 0.0000 0.5000 0.2774 (multiplicity 2)

***

Entry 16:
Sm3ThGe3 | GGA-PBE | relaxed

Properties
* N(E_F): 0.447 states/eV per atom
* DFT formation energy: -505 meV per atom

a b c (Å): 9.0686 9.0686 5.8728
angles (deg): 90.00 90.00 120.00
Space group P6_3/m (No. 176)
One atom of each set of equivalent atoms:
Sm 0.0274 0.6969 0.2500 (multiplicity 6)
Th 0.3333 0.6667 0.7500 (multiplicity 2)
Ge 0.0027 0.6543 0.7500 (multiplicity 6)

***

Entry 17:
SmThGe2 | GGA-PBE | relaxed

Properties
* N(E_F): 0.462 states/eV per atom
* DFT formation energy: -621 meV per atom

a b c (Å): 5.5040 5.5040 3.2225
angles (deg): 90.00 90.00 90.00
Space group P4/mmm (No. 123)
One atom of each set of equivalent atoms:
Sm 0.0000 0.0000 0.0000 (multiplicity 1)
Th 0.5000 0.5000 0.0000 (multiplicity 1)
Ge 0.0000 0.5000 0.5000 (multiplicity 2)

***

Entry 18:
Sm3Th3Ge4 | GGA-PBE | relaxed

Properties
* N(E_F): 0.831 states/eV per atom
* DFT formation energy: -699 meV per atom

a b c (Å): 4.1136 11.3031 11.3044
angles (deg): 90.00 90.00 90.00
Space group Amm2 (No. 38)
One atom of each set of equivalent atoms:
Sm 0.0000 0.0000 0.0000 (multiplicity 2)
Sm 0.0000 0.1690 0.6707 (multiplicity 4)
Th 0.0000 0.0000 0.3431 (multiplicity 2)
Th 0.5000 0.2488 0.4196 (multiplicity 4)
Ge 0.5000 0.0000 0.5440 (multiplicity 2)
Ge 0.5000 0.0000 0.7996 (multiplicity 2)
Ge 0.5000 0.1292 0.1692 (multiplicity 4)

***

Entry 19:
SmTh5Ge6 | GGA-PBE | relaxed

Properties
* N(E_F): 0.530 states/eV per atom
* DFT formation energy: -764 meV per atom

a b c (Å): 7.4378 12.8735 7.4307
angles (deg): 90.00 109.47 90.00
Space group C2/m (No. 12)
One atom of each set of equivalent atoms:
Sm 0.0000 0.0000 0.0000 (multiplicity 2)
Th 0.0000 0.1669 0.5000 (multiplicity 4)
Th 0.0000 0.3334 0.0000 (multiplicity 4)
Th 0.0000 0.5000 0.5000 (multiplicity 2)
Ge 0.2495 0.0000 0.7500 (multiplicity 4)
Ge 0.2496 0.1665 0.2494 (multiplicity 8)

***

Entry 20:
SmThGe2 | GGA-PBE | relaxed

Properties
* N(E_F): 0.659 states/eV per atom
* DFT formation energy: -782 meV per atom

a b c (Å): 4.1903 4.3452 11.0695
angles (deg): 90.00 90.00 90.00
Space group Amm2 (No. 38)
One atom of each set of equivalent atoms:
Sm 0.0000 0.0000 0.0000 (multiplicity 2)
Th 0.5000 0.0000 0.2747 (multiplicity 2)
Ge 0.0000 0.0000 0.7246 (multiplicity 2)
Ge 0.5000 0.0000 0.5510 (multiplicity 2)

***

Number 1: total energy -0.3989 Ry/atom. Number 2: total energy -0.3945 Ry/atom. Number 3: total energy -0.3018 Ry/atom. Number 4: total energy -0.4033 Ry/atom. Number 5: total energy -0.3192 Ry/atom. Number 6: total energy -0.4479 Ry/atom. Number 7: total energy -0.3816 Ry/atom. Number 8: total energy -0.3109 Ry/atom. Number 9: total energy -0.3869 Ry/atom. Number 10: total energy -0.2988 Ry/atom. Number 11: total energy -0.4319 Ry/atom. Number 12: total energy -0.4642 Ry/atom. Number 13: total energy -0.4350 Ry/atom. Number 14: total energy -0.4730 Ry/atom. Number 15: total energy -0.4166 Ry/atom. Number 16: total energy -0.4091 Ry/atom. Number 17: total energy -0.4384 Ry/atom. Number 18: total energy -0.4548 Ry/atom. Number 19: total energy -0.4819 Ry/atom. Number 20: total energy -0.4502 Ry/atom.